The following is a DFT calculation (PBE) of a relaxed YTlNF2 crystal.

Results
Crystal system: tetragonal
Space group: P4/mmm (123)
Fermi-level density of states (states/eV/f.u.): 1.422
Raw formation energy (eV per formula unit): -4.13
Relative energy among the computed polymorphs (meV per atom): 1054

Structure (CIF):
```
data_YTlNF2
_chemical_formula_sum 'Y1 Tl1 N1 F2'
_space_group_name_H-M_alt 'P 1'
_space_group_IT_number 1
_cell_length_a 4.529
_cell_length_b 4.529
_cell_length_c 4.291
_cell_angle_alpha 90.00
_cell_angle_beta 90.00
_cell_angle_gamma 90.00
loop_
_space_group_symop_operation_xyz
'x,y,z'
loop_
_atom_site_label
_atom_site_fract_x
_atom_site_fract_y
_atom_site_fract_z
_atom_site_occupancy
Y1 0.500 0.500 0.500 1
Tl1 0.000 0.000 0.000 1
N1 0.000 0.000 0.500 1
F1 0.000 0.500 0.000 1
F2 0.500 0.000 0.000 1
```